Entry w
Crystalline Ce2YTh at its relaxed geometry. Source: Alexandria via LeMat-Bulk, functional PBE-GGA.

Lattice parameters (Å, degrees): 3.490 3.490 9.934 90.00 90.00 90.00
Fractional positions:
Ce 0.000 0.000 0.240
Ce 0.000 0.000 0.760
Y 0.500 0.500 0.500
Th 0.500 0.500 0.000

***

Entry x
Crystalline Ce2YTh at its relaxed geometry. Source: Alexandria via LeMat-Bulk, functional PBE-GGA.

Lattice parameters (Å, degrees): 5.616 5.616 5.616 60.00 60.00 60.00
Each line ends with the local moment (μB).
Fractional positions:
Th 0.000 0.000 0.000  0.27
Ce 0.750 0.750 0.750  0.80
Ce 0.250 0.250 0.250  0.80
Y 0.500 0.500 0.500  0.18

***

Entry y
Crystalline Ce2YTh at its relaxed geometry. Source: Alexandria via LeMat-Bulk, functional PBE-GGA.

Lattice parameters (Å, degrees): 3.434 3.434 12.215 81.92 81.92 60.00
Each line ends with the local moment (μB).
Fractional positions:
Y 0.000 0.000 0.000  0.07
Ce 0.088 0.088 0.736  0.63
Ce 0.912 0.912 0.264  0.63
Th 0.500 0.500 0.500  -0.02

***

Entry z
Crystalline Ce2YTh at its relaxed geometry. Source: Alexandria via LeMat-Bulk, functional PBE-GGA.

Lattice parameters (Å, degrees): 5.020 4.903 4.903 90.00 90.00 90.00
Each line ends with the local moment (μB).
Fractional positions:
Y 0.500 0.500 0.500  0.01
Ce 0.000 0.000 0.500  0.36
Ce 0.000 0.500 0.000  0.36
Th 0.500 0.000 0.000  0.04

***

Name the most stable of them. entry w.

***

Entry w
Crystalline CeYTh2 at its relaxed geometry. Source: Alexandria via LeMat-Bulk, functional PBE-GGA.

Lattice parameters (Å, degrees): 3.536 3.536 9.952 90.00 90.00 90.00
Fractional positions:
Th 0.000 0.000 0.758
Th 0.000 0.000 0.242
Ce 0.500 0.500 0.000
Y 0.500 0.500 0.500

***

Entry x
Crystalline CeYTh2 at its relaxed geometry. Source: Alexandria via LeMat-Bulk, functional PBE-GGA.

Lattice parameters (Å, degrees): 4.936 5.037 5.037 90.00 90.00 90.00
Each line ends with the local moment (μB).
Fractional positions:
Th 0.000 0.500 0.000  0.03
Th 0.000 0.000 0.500  0.03
Ce 0.500 0.500 0.500  0.37
Y 0.500 0.000 0.000  0.01

***

Entry y
Crystalline CeYTh2 at its relaxed geometry. Source: Alexandria via LeMat-Bulk, functional PBE-GGA.

Lattice parameters (Å, degrees): 3.547 3.547 11.661 81.25 81.25 60.00
Fractional positions:
Th 0.252 0.252 0.244
Th 0.082 0.082 0.755
Y 0.499 0.499 0.504
Ce 0.668 0.668 0.997

***

Entry z
Crystalline CeYTh2 at its relaxed geometry. Source: Alexandria via LeMat-Bulk, functional PBE-GGA.

Lattice parameters (Å, degrees): 3.450 3.450 12.536 82.09 82.09 60.00
Each line ends with the local moment (μB).
Fractional positions:
Th 0.912 0.912 0.263  0.01
Th 0.088 0.088 0.737  0.01
Y 0.000 0.000 0.000  0.01
Ce 0.500 0.500 0.500  0.17

***

Name the most stable of them. entry w.